Compound: V2ZnP2O10
Source: the Alexandria database
Functional: PBEsol
Structure: relaxed

Lattice parameters (Å, degrees): 6.603 6.603 8.665 102.83 102.83 114.66
Site moments in Bohr magnetons follow the coordinates.
Atoms (fractional coordinates):
V: 0.382 0.664 0.272  0.98
V: 0.392 0.110 0.728  0.98
V: 0.360 0.142 0.228  0.98
V: 0.914 0.132 0.772  0.98
Zn: 0.017 0.517 0.500  0.02
Zn: 0.767 0.767 0.000  0.02
P: 0.556 0.542 0.586  0.01
P: 0.220 0.706 0.914  0.01
P: 0.956 0.970 0.414  0.01
P: 0.792 0.306 0.086  0.01
O: 0.708 0.752 0.326  0.01
O: 0.184 0.160 0.835  -0.09
O: 0.668 0.398 0.967  -0.01
O: 0.002 0.458 0.826  0.01
O: 0.047 0.032 0.272  0.00
O: 0.109 0.889 0.524  0.00
O: 0.598 0.075 0.665  -0.09
O: 0.325 0.348 0.165  -0.09
O: 0.410 0.934 0.335  -0.09
O: 0.024 0.510 0.228  0.00
O: 0.425 0.382 0.674  0.01
O: 0.282 0.797 0.772  0.00
O: 0.760 0.774 0.728  0.00
O: 0.836 0.115 0.976  0.00
O: 0.365 0.586 0.476  0.00
O: 0.139 0.859 0.024  0.00
O: 0.648 0.418 0.467  -0.01
O: 0.431 0.700 0.033  -0.01
O: 0.632 0.175 0.174  0.01
O: 0.950 0.181 0.533  -0.01

Output
- DOS at the Fermi energy (states/eV/atom) = 0.098
- magnetization (μB per cell) = 4.00
- E_form (uncorrected) (eV per atom) = -2.111